Entry from Alexandria: Y2ScBi2 at its PBEsol-relaxed geometry (SCAN).

Cell: 8.031 8.031 4.237 Å, 90.00 90.00 90.00°
Positions (direct):
Y  0.156  0.344  0.000
Y  0.344  0.844  0.000
Y  0.656  0.156  0.000
Y  0.844  0.656  0.000
Sc  0.000  0.000  0.500
Sc  0.500  0.500  0.500
Bi  0.150  0.650  0.500
Bi  0.350  0.150  0.500
Bi  0.650  0.850  0.500
Bi  0.850  0.350  0.500

Summary:
Its formation energy is -4.1 eV/f.u.


Entry from Alexandria: LiPtAu at its PBEsol-relaxed geometry (SCAN).

Cell: 7.273 7.036 2.708 Å, 84.08 74.19 21.73°
Positions (direct):
Li  0.000  0.000  0.000
Pt  0.349  0.349  0.651
Au  0.661  0.661  0.339

Summary:
Its formation energy is -1.2 eV/f.u.


Entry from Alexandria: Ta6V3Co3C2 at its PBEsol-relaxed geometry (SCAN).

Cell: 8.055 8.055 8.055 Å, 120.11 119.89 90.00°
Positions (direct):
Ta  0.000  0.000  0.000
Ta  0.133  0.250  0.501
Ta  0.133  0.632  0.883
Ta  0.136  0.636  0.500
Ta  0.382  0.382  0.385
Ta  0.382  0.997  0.000
Ta  0.385  0.385  0.000
Ta  0.748  0.250  0.117
Ta  0.748  0.632  0.499
Ta  0.750  0.250  0.500
Ta  0.997  0.382  0.000
Ta  0.997  0.997  0.615
V  0.069  0.821  0.248
V  0.451  0.612  0.839
V  0.565  0.307  0.742
V  0.565  0.824  0.258
V  0.573  0.821  0.752
V  0.773  0.612  0.161
Co  0.360  0.017  0.658
Co  0.360  0.702  0.342
Co  0.362  0.015  0.346
Co  0.669  0.015  0.654
Co  0.771  0.612  0.841
Co  0.771  0.930  0.159
C  0.064  0.315  0.749
C  0.065  0.315  0.250
C  0.065  0.814  0.750
C  0.566  0.315  0.251

Summary:
Its formation energy is -5.0 eV/f.u.


Number 1: size of the total moment 0.741 μB/f.u.. Number 2: size of the total moment 0.000 μB/f.u.. Number 3: size of the total moment 0.005 μB/f.u..